Tl6CdPb8 after structural relaxation. Source: Alexandria via LeMat-Bulk, functional GGA-PBE.

```
Tl6CdPb8
1.0
4.480 2.587 6.895
-4.480 2.587 6.895
0.000 -5.173 6.895
Tl Cd Pb
6 1 8
Cartesian
-2.240 -2.271 9.772
-3.087 0.804 10.912
0.847 -3.075 10.912
-0.847 3.075 9.772
3.087 -0.804 9.772
2.240 2.271 10.912
0.000 0.000 10.342
0.000 0.000 1.584
-0.557 -1.900 6.819
-1.367 1.433 6.819
-1.924 -0.468 13.864
1.924 0.468 6.819
1.367 -1.433 13.864
0.557 1.900 13.864
0.000 0.000 19.099
```

Magnetic moment: 0.0 Bohr magnetons per cell
Calculated formation energy: 0.072 eV per atom
Space group: R-3 (148)
Density: 10.38 g/cm³
Electronic total energy: -43.71 eV per formula unit
Calculated volume: 31.96 Å³/atom
Crystal system: trigonal